## K2HoMgF6 (PBE-GGA)

Data for a relaxed structure of K2HoMgF6.

Output
**Formation energy from raw total energies**: -3.1688 eV/atom
**Space-group type**: Immm

Geometry as POSCAR:
```
K2HoMgF6
1.0
6.465 0.000 0.000
0.000 5.788 0.000
0.000 0.000 8.604
K Ho Mg F
4 2 2 12
Direct
0.500 0.750 0.232
0.000 0.250 0.732
0.500 0.750 0.768
0.000 0.250 0.268
0.500 0.250 0.500
0.000 0.750 0.000
0.000 0.750 0.500
0.500 0.250 0.000
0.500 0.250 0.243
0.500 0.250 0.757
0.000 0.750 0.257
0.000 0.750 0.743
0.216 0.011 0.500
0.784 0.011 0.500
0.215 0.488 0.500
0.785 0.488 0.500
0.715 0.512 0.000
0.285 0.512 0.000
0.284 0.989 0.000
0.716 0.989 0.000
```

---

## Ac2AgIrPd (PBE-GGA)

Data for a relaxed structure of Ac2AgIrPd.

Output
**Formation energy**: -0.569 eV/atom
**Space-group type**: P4/nmm

Geometry as POSCAR:
```
Ac2AgIrPd
1.0
-3.144 0.360 -2.921
2.338 -2.291 -2.798
-5.953 -12.084 4.919
Ac Ag Ir Pd
4 2 2 2
Direct
0.000 0.500 0.689
0.000 0.500 0.107
0.500 0.000 0.893
0.500 0.000 0.311
0.000 0.000 0.500
0.500 0.500 0.500
0.500 0.000 0.110
0.000 0.500 0.890
0.500 0.000 0.639
0.000 0.500 0.361
```